No. 1
LiPuIn6 | PBE | relaxed Values from VASP.

```
&SYSTEM
  ibrav = 0, nat = 8, ntyp = 3
/
ATOMIC_SPECIES
In 114.82 In.upf
Pu 244.00 Pu.upf
Li 6.94 Li.upf
CELL_PARAMETERS angstrom
-2.853 2.383 -2.880
-4.987 -1.125 4.009
1.359 5.490 3.197
ATOMIC_POSITIONS angstrom
In -0.247 3.816 3.402
In -3.920 0.629 0.564
In -3.381 0.549 3.803
In -2.706 3.255 5.374
In -0.747 3.936 0.159
In -0.922 1.109 1.832
Pu -1.426 1.192 -1.440
Li -3.240 3.374 2.163
```

Calculated values
Fermi-level density of states: 12.899 states/eV/cell
total magnetic moment: 6.0 μB/cell
total energy: -4.24 eV/atom


No. 2
SmP2IrRh2 | PBE | relaxed Values from VASP.

```
&SYSTEM
  ibrav = 0, nat = 6, ntyp = 4
/
ATOMIC_SPECIES
Sm 150.36 Sm.upf
Rh 102.91 Rh.upf
Ir 192.22 Ir.upf
P 30.97 P.upf
CELL_PARAMETERS angstrom
4.486 0.000 0.000
0.000 4.486 0.000
0.000 0.000 5.559
ATOMIC_POSITIONS angstrom
Sm 0.000 0.000 2.779
Rh 2.243 2.243 1.390
Rh 2.243 2.243 4.169
Ir 0.000 0.000 0.000
P 2.243 0.000 0.000
P 0.000 2.243 0.000
```

Calculated values
Fermi-level density of states: 2.313 states/eV/cell
total magnetic moment: 0.0 μB/cell
total energy: -6.77 eV/atom


No. 3
Sr3Dy3HoSe8 | PBE | relaxed Values from VASP.

```
&SYSTEM
  ibrav = 0, nat = 15, ntyp = 4
/
ATOMIC_SPECIES
Sr 87.62 Sr.upf
Se 78.96 Se.upf
Dy 162.50 Dy.upf
Ho 164.93 Ho.upf
CELL_PARAMETERS angstrom
-3.804 -1.322 -7.273
8.305 -0.017 0.411
-4.347 -6.562 3.467
ATOMIC_POSITIONS angstrom
Sr 2.250 -0.669 -3.431
Sr 4.152 -0.008 0.206
Sr 0.000 0.000 0.000
Se -1.959 -5.783 -2.676
Se 4.093 -5.102 1.160
Se 0.209 -2.804 -4.351
Se 2.112 -2.118 -0.720
Se -2.040 -2.138 -0.923
Se 2.193 -5.763 -2.473
Se -0.056 -5.097 0.956
Se -3.940 -2.798 -4.555
Dy 0.076 -3.950 -1.698
Dy 1.979 -3.289 1.939
Dy -4.076 -3.942 -1.903
Ho -2.174 -3.281 1.733
```

Calculated values
Fermi-level density of states: 4.571 states/eV/cell
formation energy (no corrections): -1929 meV/atom
total magnetic moment: 0.0 μB/cell
total energy: -5.35 eV/atom